1.
First-principles (PBE) data for crystalline Sm6Rh3Br2 at its relaxed geometry, as listed in Alexandria.

Cell lengths 7.078, 12.270, 7.884 Å; angles 90.00, 107.51, 90.00 degrees
Space group C2/m (No. 12)
Inequivalent atoms, fractional coordinates:
Sm: 0.229 0.000 0.198
Sm: 0.236 0.335 0.202
Rh: 0.000 0.170 0.000
Rh: 0.000 0.500 0.000
Br: 0.000 0.334 0.500

Values from the calculation:
* crystal system: monoclinic
* total DFT energy (no corrections): -5.76 eV per atom
* formation energy from raw total energies: -9.67 eV/f.u.

***

2.
First-principles (PBE) data for crystalline LiTbCe2Se5 at its relaxed geometry, as listed in Alexandria.

Cell lengths 4.141, 17.285, 12.480 Å; angles 90.00, 90.00, 90.00 degrees
Space group Cmc2_1 (No. 36)
Inequivalent atoms, fractional coordinates:
Li: 0.000 0.015 0.000
Tb: 0.000 0.303 0.524
Ce: 0.000 0.375 0.819
Ce: 0.000 0.392 0.205
Se: 0.000 0.001 0.303
Se: 0.000 0.137 0.520
Se: 0.000 0.191 0.865
Se: 0.000 0.213 0.184
Se: 0.000 0.454 0.593

Values from the calculation:
* crystal system: orthorhombic
* total DFT energy (no corrections): -5.70 eV per atom
* formation energy from raw total energies: -15.42 eV/f.u.

***

3.
First-principles (PBE) data for crystalline CaCuSi2 at its relaxed geometry, as listed in Alexandria.

Cell lengths 3.9134, 3.9134, 17.3078 Å; angles 90.00, 90.00, 120.00 degrees
Space group R3m (No. 160, hexagonal axes)
Inequivalent atoms, fractional coordinates:
Ca: 0.0000 0.0000 0.0000
Cu: 0.0000 0.0000 0.8149
Si: 0.0000 0.0000 0.2047
Si: 0.0000 0.0000 0.4474

Values from the calculation:
* crystal system: trigonal
* total DFT energy (no corrections): -4.44 eV per atom
* formation energy from raw total energies: -0.83 eV/f.u.

***

4.
First-principles (PBE) data for crystalline Ce2MgAl3 at its relaxed geometry, as listed in Alexandria.

Cell lengths 5.7921, 5.7921, 13.5890 Å; angles 90.00, 90.00, 120.00 degrees
Space group R-3m (No. 166, hexagonal axes)
Inequivalent atoms, fractional coordinates:
Ce: 0.0000 0.0000 0.1051
Mg: 0.0000 0.0000 0.5000
Al: 0.0000 0.5000 0.0000

Values from the calculation:
* crystal system: trigonal
* total DFT energy (no corrections): -4.46 eV per atom
* energy above the most stable polymorph in this dataset: 0.016 eV/atom
* energy of formation from the pure elements: -0.35 eV per atom

***

5.
First-principles (PBE) data for crystalline Tb3Sm2Y6Sc at its relaxed geometry, as listed in Alexandria.

Cell lengths 6.152, 10.650, 11.781 Å; angles 90.00, 99.98, 90.00 degrees
Space group C2/m (No. 12)
Inequivalent atoms, fractional coordinates:
Tb: 0.000 0.000 0.000
Tb: 0.000 0.334 0.000
Sm: 0.000 0.166 0.500
Y: 0.248 0.335 0.749
Y: 0.248 0.500 0.251
Sc: 0.000 0.500 0.500

Values from the calculation:
* crystal system: monoclinic
* total DFT energy (no corrections): -5.68 eV per atom
* energy of formation from the pure elements: 0.03 eV per atom

***

6.
First-principles (PBE) data for crystalline CsScP2W at its relaxed geometry, as listed in Alexandria.

Cell lengths 5.116, 5.116, 5.434 Å; angles 90.00, 90.00, 90.00 degrees
Space group P4/mmm (No. 123)
Inequivalent atoms, fractional coordinates:
Cs: 0.000 0.000 0.000
Sc: 0.500 0.500 0.500
P: 0.000 0.500 0.500
W: 0.500 0.500 0.000

Values from the calculation:
* crystal system: tetragonal
* total DFT energy (no corrections): -5.16 eV per atom
* energy of formation from the pure elements: 1.03 eV per atom

***

7.
First-principles (PBE) data for crystalline TcSbTe2Rh at its relaxed geometry, as listed in Alexandria.

Cell lengths 5.266, 5.266, 4.986 Å; angles 90.00, 90.00, 90.00 degrees
Space group P4/mmm (No. 123)
Inequivalent atoms, fractional coordinates:
Tc: 0.000 0.000 0.000
Sb: 0.500 0.500 0.000
Te: 0.000 0.500 0.500
Rh: 0.500 0.500 0.500

Values from the calculation:
* crystal system: tetragonal
* total DFT energy (no corrections): -4.70 eV per atom
* energy above the most stable polymorph in this dataset: 0.006 eV/atom
* formation energy from raw total energies: 4.65 eV/f.u.

***

8.
First-principles (PBE) data for crystalline Sm5Dy3Th2 at its relaxed geometry, as listed in Alexandria.

Cell lengths 10.880, 17.326, 9.014 Å; angles 90.00, 127.01, 90.00 degrees
Space group C2/c (No. 15)
Inequivalent atoms, fractional coordinates:
Sm: 0.000 0.030 0.250
Sm: 0.000 0.221 0.250
Sm: 0.000 0.278 0.750
Sm: 0.250 0.118 0.752
Dy: 0.000 0.467 0.750
Dy: 0.145 0.123 0.040
Th: 0.135 0.377 0.521

Values from the calculation:
* crystal system: monoclinic
* total DFT energy (no corrections): -5.01 eV per atom
* energy of formation from the pure elements: 0.21 eV per atom

***

9.
First-principles (PBE) data for crystalline CrGe2SbIr at its relaxed geometry, as listed in Alexandria.

Cell lengths 5.249, 5.249, 4.887 Å; angles 90.00, 90.00, 90.00 degrees
Space group P4/mmm (No. 123)
Inequivalent atoms, fractional coordinates:
Cr: 0.000 0.000 0.000
Ge: 0.000 0.500 0.500
Sb: 0.500 0.500 0.500
Ir: 0.500 0.500 0.000

Values from the calculation:
* crystal system: tetragonal
* total DFT energy (no corrections): -5.00 eV per atom
* formation energy from raw total energies: 6.87 eV/f.u.

***

10.
First-principles (PBE) data for crystalline Mn2IrOs at its relaxed geometry, as listed in Alexandria.

Cell lengths 5.318, 7.317, 2.654 Å; angles 90.00, 90.00, 90.00 degrees
Space group Cmmm (No. 65)
Inequivalent atoms, fractional coordinates:
Mn: 0.250 0.250 0.000
Ir: 0.000 0.000 0.500
Os: 0.000 0.500 0.500

Values from the calculation:
* crystal system: orthorhombic
* total DFT energy (no corrections): -9.63 eV per atom
* energy above the most stable polymorph in this dataset: 0.090 eV/atom
* energy of formation from the pure elements: -0.02 eV per atom

***

11.
First-principles (PBE) data for crystalline Pt2SeBr at its relaxed geometry, as listed in Alexandria.

Cell lengths 5.234, 5.234, 5.718 Å; angles 90.00, 90.00, 90.00 degrees
Space group I4/mmm (No. 139)
Inequivalent atoms, fractional coordinates:
Pt: 0.000 0.500 0.000
Se: 0.000 0.000 0.000
Br: 0.000 0.000 0.500

Values from the calculation:
* crystal system: tetragonal
* total DFT energy (no corrections): -3.98 eV per atom
* energy above the most stable polymorph in this dataset: 0.545 eV/atom
* formation energy from raw total energies: 1.34 eV/f.u.

***

12.
First-principles (PBE) data for crystalline GaPbSeS2 at its relaxed geometry, as listed in Alexandria.

Cell lengths 5.221, 5.221, 5.476 Å; angles 90.00, 90.00, 90.00 degrees
Space group P4/mmm (No. 123)
Inequivalent atoms, fractional coordinates:
Ga: 0.000 0.000 0.000
Pb: 0.500 0.500 0.500
Se: 0.500 0.500 0.000
S: 0.000 0.500 0.500

Values from the calculation:
* crystal system: tetragonal
* total DFT energy (no corrections): -3.29 eV per atom
* formation energy from raw total energies: 2.00 eV/f.u.